Compound: ZrAl3Pt4
Source: the Alexandria database
Functional: PBE-GGA
Structure: relaxed

Summary:
**ΔE_f**: -1.022 eV per atom
**Total moment**: 0.000 μB per atom

Cell lengths 8.4310, 8.4310, 8.4310 Å; angles 29.50, 29.50, 29.50 degrees
Last column: nearest neighbours and their distance in Å.
Positions (direct):
Zr 0.0000 0.0000 0.0000  8 Pt 2.91-3.19, 6 Al 3.22
Al 0.2484 0.2484 0.2484  7 Pt 2.54-2.82
Al 0.5000 0.5000 0.5000  8 Pt 2.51-2.62
Al 0.7516 0.7516 0.7516  7 Pt 2.54-2.82
Pt 0.1318 0.1318 0.1318  7 Al 2.62-2.82
Pt 0.3962 0.3962 0.3962  4 Al 2.51-2.54
Pt 0.6038 0.6038 0.6038  4 Al 2.51-2.54
Pt 0.8682 0.8682 0.8682  7 Al 2.62-2.82



Compound: ZrAl3Pt2
Source: the Alexandria database
Functional: PBE-GGA
Structure: relaxed

Summary:
**ΔE_f**: -0.875 eV per atom
**Total moment**: 0.000 μB per atom

Cell lengths 8.5143, 8.5143, 9.6544 Å; angles 108.00, 108.00, 27.88 degrees
Last column: nearest neighbours and their distance in Å.
Positions (direct):
Zr 0.0000 0.0000 0.0000  6 Pt 3.03-3.06, 6 Al 3.06-3.24
Zr 0.1552 0.1552 0.7045  8 Al 3.08-3.39, 6 Pt 3.09-3.24
Zr 0.8448 0.8448 0.2955  8 Al 3.08-3.39, 6 Pt 3.09-3.24
Al 0.0391 0.0391 0.3509  4 Pt 2.51-2.63, 3 Al 2.70-2.79
Al 0.2138 0.2138 0.3886  4 Pt 2.41-2.59
Al 0.3238 0.3238 0.0433  4 Pt 2.48-2.57, 1 Al 2.66
Al 0.3762 0.3762 0.8104  4 Pt 2.52-2.57, 1 Al 2.66
Al 0.5000 0.5000 0.5000  4 Pt 2.46-2.68, 4 Al 2.70
Al 0.6238 0.6238 0.1896  4 Pt 2.52-2.57, 1 Al 2.66
Al 0.6762 0.6762 0.9567  4 Pt 2.48-2.57, 1 Al 2.66
Al 0.7862 0.7862 0.6114  4 Pt 2.41-2.59
Al 0.9609 0.9609 0.6491  4 Pt 2.51-2.63, 3 Al 2.70-2.79
Pt 0.1950 0.1950 0.1236  6 Al 2.48-2.57
Pt 0.3609 0.3609 0.5426  7 Al 2.41-2.63
Pt 0.4728 0.4728 0.2114  5 Al 2.48-2.68
Pt 0.5272 0.5272 0.7886  5 Al 2.48-2.68
Pt 0.6391 0.6391 0.4574  7 Al 2.41-2.63
Pt 0.8050 0.8050 0.8764  6 Al 2.48-2.57



Compound: Zr2Al5Pt3
Source: the Alexandria database
Functional: PBE-GGA
Structure: relaxed

Summary:
**ΔE_f**: -0.968 eV per atom
**Total moment**: 0.000 μB per atom

Cell lengths 12.4450, 12.4450, 6.6478 Å; angles 90.00, 90.00, 160.54 degrees
Last column: nearest neighbours and their distance in Å.
Positions (direct):
Zr 0.0200 0.9800 0.5000  3 Pt 2.73-2.87, 2 Al 2.95
Zr 0.3272 0.6728 0.4799  9 Al 2.95-3.22, 4 Pt 3.04-3.27
Zr 0.6728 0.3272 0.9799  9 Al 2.95-3.22, 4 Pt 3.04-3.27
Zr 0.9800 0.0200 0.0000  3 Pt 2.73-2.87, 2 Al 2.95
Al 0.1007 0.8993 0.1429  3 Pt 2.51-2.58, 1 Al 2.80
Al 0.2070 0.7930 0.6721  4 Pt 2.52-2.57, 1 Al 2.76
Al 0.2108 0.7892 0.2569  3 Pt 2.52, 2 Al 2.76-2.80
Al 0.3774 0.6226 0.0025  4 Pt 2.53-2.72, 1 Al 2.82
Al 0.4480 0.5520 0.3372  4 Pt 2.55-2.59, 1 Al 2.82
Al 0.5520 0.4480 0.8372  4 Pt 2.55-2.59, 1 Al 2.82
Al 0.6226 0.3774 0.5025  4 Pt 2.53-2.72, 1 Al 2.82
Al 0.7892 0.2108 0.7569  3 Pt 2.52, 2 Al 2.76-2.80
Al 0.7930 0.2070 0.1721  4 Pt 2.52-2.57, 1 Al 2.76
Al 0.8993 0.1007 0.6429  3 Pt 2.51-2.58, 1 Al 2.80
Pt 0.1068 0.8932 0.7561  6 Al 2.52-2.72, 1 Zr 2.73
Pt 0.2749 0.7251 0.9602  7 Al 2.52-2.57
Pt 0.4508 0.5492 0.7256  5 Al 2.51-2.59
Pt 0.5492 0.4508 0.2256  5 Al 2.51-2.59
Pt 0.7251 0.2749 0.4602  7 Al 2.52-2.57
Pt 0.8932 0.1068 0.2561  6 Al 2.52-2.72, 1 Zr 2.73



Compound: Zr2AlPt9
Source: the Alexandria database
Functional: PBE-GGA
Structure: relaxed

Summary:
**ΔE_f**: -0.939 eV per atom
**Total moment**: 0.000 μB per atom

Cell lengths 4.0183, 4.0183, 11.9813 Å; angles 90.00, 90.00, 90.00 degrees
Last column: nearest neighbours and their distance in Å.
Positions (direct):
Zr 0.0000 0.0000 0.1724  12 Pt 2.84-2.88
Zr 0.0000 0.0000 0.8276  12 Pt 2.84-2.88
Al 0.0000 0.0000 0.5000  12 Pt 2.78-2.84
Pt 0.0000 0.5000 0.0000  8 Pt 2.84-2.86, 4 Zr 2.88
Pt 0.0000 0.5000 0.3394  2 Al 2.78, 8 Pt 2.78-2.86, 2 Zr 2.84
Pt 0.0000 0.5000 0.6606  2 Al 2.78, 8 Pt 2.78-2.86, 2 Zr 2.84
Pt 0.5000 0.0000 0.0000  8 Pt 2.84-2.86, 4 Zr 2.88
Pt 0.5000 0.0000 0.3394  2 Al 2.78, 8 Pt 2.78-2.86, 2 Zr 2.84
Pt 0.5000 0.0000 0.6606  2 Al 2.78, 8 Pt 2.78-2.86, 2 Zr 2.84
Pt 0.5000 0.5000 0.1700  4 Zr 2.84, 8 Pt 2.86
Pt 0.5000 0.5000 0.5000  8 Pt 2.78, 4 Al 2.84
Pt 0.5000 0.5000 0.8300  4 Zr 2.84, 8 Pt 2.86



Compound: Zr3Al3Pt
Source: the Alexandria database
Functional: PBE-GGA
Structure: relaxed

Summary:
**ΔE_f**: -0.658 eV per atom
**Total moment**: 0.000 μB per atom

Cell lengths 5.6352, 5.6352, 13.9931 Å; angles 90.00, 90.00, 143.22 degrees
Last column: nearest neighbours and their distance in Å.
Positions (direct):
Zr 0.0059 0.9941 0.7500  7 Al 2.84-3.07
Zr 0.3047 0.6953 0.0942  6 Al 2.93-3.02, 2 Pt 3.04
Zr 0.3047 0.6953 0.4058  6 Al 2.93-3.02, 2 Pt 3.04
Zr 0.6953 0.3047 0.5942  6 Al 2.93-3.02, 2 Pt 3.04
Zr 0.6953 0.3047 0.9058  6 Al 2.93-3.02, 2 Pt 3.04
Zr 0.9941 0.0059 0.2500  7 Al 2.84-3.07
Al 0.2719 0.7281 0.7500  2 Al 2.56, 1 Zr 2.84
Al 0.4132 0.5868 0.6025  2 Pt 2.47, 1 Al 2.56
Al 0.4132 0.5868 0.8975  2 Pt 2.47, 1 Al 2.56
Al 0.5868 0.4132 0.1025  2 Pt 2.47, 1 Al 2.56
Al 0.5868 0.4132 0.3975  2 Pt 2.47, 1 Al 2.56
Al 0.7281 0.2719 0.2500  2 Al 2.56, 1 Zr 2.84
Pt 0.0000 0.0000 0.0000  4 Al 2.47
Pt 0.0000 0.0000 0.5000  4 Al 2.47



Compound: Zr3Al2Pt3
Source: the Alexandria database
Functional: PBE-GGA
Structure: relaxed

Summary:
**ΔE_f**: -0.995 eV per atom
**Total moment**: 0.000 μB per atom

Cell lengths 7.9649, 7.9649, 5.3023 Å; angles 90.00, 90.00, 120.00 degrees
Last column: nearest neighbours and their distance in Å.
Positions (direct):
Zr 0.0000 0.2538 0.2500  5 Pt 2.77-2.89
Zr 0.0000 0.7462 0.7500  5 Pt 2.77-2.89
Zr 0.2538 0.0000 0.2500  5 Pt 2.77-2.89
Zr 0.2538 0.2538 0.7500  5 Pt 2.77-2.89
Zr 0.7462 0.0000 0.7500  5 Pt 2.77-2.89
Zr 0.7462 0.7462 0.2500  5 Pt 2.77-2.89
Al 0.3333 0.6667 0.0000  2 Al 2.65, 6 Pt 2.77
Al 0.3333 0.6667 0.5000  2 Al 2.65, 6 Pt 2.77
Al 0.6667 0.3333 0.0000  2 Al 2.65, 6 Pt 2.77
Al 0.6667 0.3333 0.5000  2 Al 2.65, 6 Pt 2.77
Pt 0.0000 0.3990 0.7500  5 Zr 2.77-2.89, 4 Al 2.77
Pt 0.0000 0.6010 0.2500  5 Zr 2.77-2.89, 4 Al 2.77
Pt 0.3990 0.0000 0.7500  5 Zr 2.77-2.89, 4 Al 2.77
Pt 0.3990 0.3990 0.2500  5 Zr 2.77-2.89, 4 Al 2.77
Pt 0.6010 0.0000 0.2500  5 Zr 2.77-2.89, 4 Al 2.77
Pt 0.6010 0.6010 0.7500  5 Zr 2.77-2.89, 4 Al 2.77



Compound: ZrAl2Pt8
Source: the Alexandria database
Functional: PBE-GGA
Structure: relaxed

Summary:
**ΔE_f**: -0.797 eV per atom
**Total moment**: 0.000 μB per atom

Cell lengths 7.4296, 7.4296, 7.4296 Å; angles 148.49, 123.08, 66.52 degrees
Last column: nearest neighbours and their distance in Å.
Positions (direct):
Zr 0.0000 0.0000 0.0000  12 Pt 2.75-2.92
Al 0.3179 0.3179 0.0000  8 Pt 2.56-2.75
Al 0.6821 0.6821 0.0000  8 Pt 2.56-2.75
Pt 0.1152 0.8348 0.2804  3 Al 2.56-2.75, 3 Pt 2.77-2.84, 1 Zr 2.86
Pt 0.1504 0.6504 0.5000  2 Zr 2.75, 8 Pt 2.77-2.84, 2 Al 2.90
Pt 0.2983 0.5000 0.7983  2 Al 2.68, 7 Pt 2.82-2.88, 2 Zr 2.92
Pt 0.4456 0.1652 0.2804  3 Al 2.56-2.75, 3 Pt 2.77-2.84, 1 Zr 2.86
Pt 0.5544 0.8348 0.7196  3 Al 2.56-2.75, 3 Pt 2.77-2.84, 1 Zr 2.86
Pt 0.7017 0.5000 0.2017  2 Al 2.68, 7 Pt 2.82-2.88, 2 Zr 2.92
Pt 0.8496 0.3496 0.5000  2 Zr 2.75, 8 Pt 2.77-2.84, 2 Al 2.90
Pt 0.8848 0.1652 0.7196  3 Al 2.56-2.75, 3 Pt 2.77-2.84, 1 Zr 2.86



Compound: ZrAl2Pt9
Source: the Alexandria database
Functional: PBE-GGA
Structure: relaxed

Summary:
**ΔE_f**: -0.824 eV per atom
**Total moment**: 0.000 μB per atom

Cell lengths 3.9760, 3.9760, 11.8381 Å; angles 90.00, 90.00, 90.00 degrees
Last column: nearest neighbours and their distance in Å.
Positions (direct):
Zr 0.0000 0.0000 0.0000  12 Pt 2.81-2.85
Al 0.0000 0.0000 0.3396  12 Pt 2.75-2.81
Al 0.0000 0.0000 0.6604  12 Pt 2.75-2.81
Pt 0.0000 0.5000 0.1730  8 Pt 2.78-2.85, 2 Al 2.80, 2 Zr 2.85
Pt 0.0000 0.5000 0.5000  4 Al 2.75, 8 Pt 2.77-2.81
Pt 0.0000 0.5000 0.8270  8 Pt 2.78-2.85, 2 Al 2.80, 2 Zr 2.85
Pt 0.5000 0.0000 0.1730  8 Pt 2.78-2.85, 2 Al 2.80, 2 Zr 2.85
Pt 0.5000 0.0000 0.5000  4 Al 2.75, 8 Pt 2.77-2.81
Pt 0.5000 0.0000 0.8270  8 Pt 2.78-2.85, 2 Al 2.80, 2 Zr 2.85
Pt 0.5000 0.5000 0.0000  4 Zr 2.81, 8 Pt 2.85
Pt 0.5000 0.5000 0.3369  8 Pt 2.77-2.78, 4 Al 2.81
Pt 0.5000 0.5000 0.6631  8 Pt 2.77-2.78, 4 Al 2.81



Compound: ZrAl4Pt
Source: the Alexandria database
Functional: PBE-GGA
Structure: relaxed

Summary:
**ΔE_f**: -0.246 eV per atom
**Total moment**: 0.000 μB per atom

Cell lengths 5.2207, 5.2207, 5.2207 Å; angles 60.00, 60.00, 60.00 degrees
Last column: nearest neighbours and their distance in Å.
Positions (direct):
Zr 0.0000 0.0000 0.0000  12 Al 3.06, 4 Pt 3.20
Al 0.1237 0.6254 0.6254  6 Al 2.60-2.62
Al 0.6254 0.1237 0.6254  6 Al 2.60-2.62
Al 0.6254 0.6254 0.1237  6 Al 2.60-2.62
Al 0.6254 0.6254 0.6254  6 Al 2.60-2.62
Pt 0.2500 0.2500 0.2500  12 Al 3.06, 4 Zr 3.20



Compound: Zr3AlPt
Source: the Alexandria database
Functional: PBE-GGA
Structure: relaxed

Summary:
**ΔE_f**: 0.172 eV per atom
**Offset from the most stable computed form**: 0.0000 eV per atom
**Total moment**: 0.000 μB per atom

Cell lengths 5.0798, 5.0798, 5.0798 Å; angles 90.00, 90.00, 90.00 degrees
Last column: nearest neighbours and their distance in Å.
Positions (direct):
Zr 0.0000 0.0000 0.5000  2 Pt 2.54
Zr 0.0000 0.5000 0.0000  2 Pt 2.54
Zr 0.5000 0.0000 0.0000  2 Pt 2.54
Al 0.5000 0.5000 0.5000  12 Zr 3.59
Pt 0.0000 0.0000 0.0000  6 Zr 2.54



Compound: ZrAlPt4
Source: the Alexandria database
Functional: PBE-GGA
Structure: relaxed

Summary:
**ΔE_f**: -0.608 eV per atom
**Total moment**: 0.000 μB per atom

Cell lengths 5.2796, 5.2796, 5.2796 Å; angles 60.00, 60.00, 60.00 degrees
Last column: nearest neighbours and their distance in Å.
Positions (direct):
Zr 0.0000 0.0000 0.0000  12 Pt 3.10, 4 Al 3.23
Al 0.7500 0.7500 0.7500  12 Pt 3.10, 4 Zr 3.23
Pt 0.3752 0.3752 0.3752  6 Pt 2.64
Pt 0.3752 0.3752 0.8745  6 Pt 2.64
Pt 0.3752 0.8745 0.3752  6 Pt 2.64
Pt 0.8745 0.3752 0.3752  6 Pt 2.64



Compound: ZrAl7Pt3
Source: the Alexandria database
Functional: PBE-GGA
Structure: relaxed

Summary:
**ΔE_f**: -0.823 eV per atom
**Total moment**: 0.000 μB per atom

Cell lengths 8.3150, 8.3150, 8.3150 Å; angles 56.02, 56.02, 56.02 degrees
Last column: nearest neighbours and their distance in Å.
Positions (direct):
Zr 0.0000 0.0000 0.0000  6 Pt 3.14, 12 Al 3.21-3.33
Zr 0.5000 0.5000 0.5000  6 Pt 3.14, 12 Al 3.21-3.33
Al 0.0759 0.8514 0.6580  3 Pt 2.50-2.61, 1 Al 2.75
Al 0.1486 0.3420 0.9241  3 Pt 2.50-2.61, 1 Al 2.75
Al 0.1580 0.3514 0.5759  3 Pt 2.50-2.61, 1 Al 2.75
Al 0.2500 0.2500 0.2500  3 Pt 2.59, 6 Al 2.86
Al 0.3420 0.9241 0.1486  3 Pt 2.50-2.61, 1 Al 2.75
Al 0.3514 0.5759 0.1580  3 Pt 2.50-2.61, 1 Al 2.75
Al 0.4241 0.8420 0.6486  3 Pt 2.50-2.61, 1 Al 2.75
Al 0.5759 0.1580 0.3514  3 Pt 2.50-2.61, 1 Al 2.75
Al 0.6486 0.4241 0.8420  3 Pt 2.50-2.61, 1 Al 2.75
Al 0.6580 0.0759 0.8514  3 Pt 2.50-2.61, 1 Al 2.75
Al 0.7500 0.7500 0.7500  3 Pt 2.59, 6 Al 2.86
Al 0.8420 0.6486 0.4241  3 Pt 2.50-2.61, 1 Al 2.75
Al 0.8514 0.6580 0.0759  3 Pt 2.50-2.61, 1 Al 2.75
Al 0.9241 0.1486 0.3420  3 Pt 2.50-2.61, 1 Al 2.75
Pt 0.0817 0.7500 0.4183  7 Al 2.50-2.61
Pt 0.2500 0.5817 0.9183  7 Al 2.50-2.61
Pt 0.4183 0.0817 0.7500  7 Al 2.50-2.61
Pt 0.5817 0.9183 0.2500  7 Al 2.50-2.61
Pt 0.7500 0.4183 0.0817  7 Al 2.50-2.61
Pt 0.9183 0.2500 0.5817  7 Al 2.50-2.61